1.
DFT (GGA-PBE) results for a geometry-optimized Tb6Sb3As2Se structure.

The crystal system is monoclinic.

Lattice parameters (Å, degrees): 9.5446 9.5446 8.5555 103.24 103.24 25.77
Element x y z (fractional)
Tb  0.0048  0.0048  0.2476
Tb  0.3293  0.3293  0.4265
Tb  0.3341  0.3341  0.9049
Tb  0.6659  0.6659  0.0951
Tb  0.6707  0.6707  0.5735
Tb  0.9952  0.9952  0.7524
Sb  0.1649  0.1649  0.8334
Sb  0.5000  0.5000  0.5000
Sb  0.8351  0.8351  0.1666
As  0.1665  0.1665  0.3323
As  0.8335  0.8335  0.6677
Se  0.5000  0.5000  0.0000

***

2.
DFT (GGA-PBE) results for a geometry-optimized TcSbAsSe2 structure.

The crystal system is tetragonal.

Lattice parameters (Å, degrees): 4.9749 4.9749 4.7177 90.00 90.00 90.00
Element x y z (fractional)
Tc  0.0000  0.0000  0.0000
Sb  0.5000  0.5000  0.5000
As  0.0000  0.0000  0.5000
Se  0.0000  0.5000  0.0000
Se  0.5000  0.0000  0.0000

***

3.
DFT (GGA-PBE) results for a geometry-optimized Sb2TeAsSe structure.

The crystal system is tetragonal.

Lattice parameters (Å, degrees): 5.3881 5.3881 5.3930 90.00 90.00 90.00
Element x y z (fractional)
Sb  0.0000  0.5000  0.0000
Sb  0.5000  0.0000  0.0000
Te  0.0000  0.0000  0.5000
As  0.0000  0.0000  0.0000
Se  0.5000  0.5000  0.5000

***

4.
DFT (GGA-PBE) results for a geometry-optimized SbTe2AsSe structure.

The crystal system is tetragonal.

Lattice parameters (Å, degrees): 5.3688 5.3688 5.4925 90.00 90.00 90.00
Element x y z (fractional)
Sb  0.0000  0.0000  0.0000
Te  0.0000  0.5000  0.5000
Te  0.5000  0.0000  0.5000
As  0.5000  0.5000  0.0000
Se  0.0000  0.0000  0.5000

***

5.
DFT (GGA-PBE) results for a geometry-optimized SbTe2AsSe structure.

The crystal system is tetragonal.

Lattice parameters (Å, degrees): 5.3913 5.3913 5.1397 90.00 90.00 90.00
Element x y z (fractional)
Sb  0.0000  0.0000  0.0000
Te  0.0000  0.5000  0.5000
Te  0.5000  0.0000  0.5000
As  0.5000  0.5000  0.0000
Se  0.5000  0.5000  0.5000

***

6.
DFT (GGA-PBE) results for a geometry-optimized SbTe2AsSe structure.

The crystal system is tetragonal.

Lattice parameters (Å, degrees): 5.4065 5.4065 5.3922 90.00 90.00 90.00
Element x y z (fractional)
Sb  0.0000  0.0000  0.0000
Te  0.0000  0.5000  0.5000
Te  0.5000  0.0000  0.5000
As  0.0000  0.0000  0.5000
Se  0.5000  0.5000  0.0000

***

7.
DFT (GGA-PBE) results for a geometry-optimized Th6Sb2AsSe3 structure.

The crystal system is monoclinic.

Lattice parameters (Å, degrees): 9.6049 9.6049 8.6018 101.56 101.56 26.09
Element x y z (fractional)
Th  0.0065  0.0065  0.2581
Th  0.3369  0.3369  0.4308
Th  0.3391  0.3391  0.9007
Th  0.6609  0.6609  0.0993
Th  0.6631  0.6631  0.5692
Th  0.9935  0.9935  0.7419
Sb  0.1660  0.1660  0.8364
Sb  0.8340  0.8340  0.1636
As  0.5000  0.5000  0.5000
Se  0.1714  0.1714  0.3380
Se  0.5000  0.5000  0.0000
Se  0.8286  0.8286  0.6620

***

8.
DFT (GGA-PBE) results for a geometry-optimized Th6Sb2As3Se structure.

The crystal system is monoclinic.

Lattice parameters (Å, degrees): 9.7136 9.7136 8.7007 103.75 103.75 25.72
Element x y z (fractional)
Th  0.0066  0.0066  0.2464
Th  0.3325  0.3325  0.4321
Th  0.3385  0.3385  0.9013
Th  0.6615  0.6615  0.0987
Th  0.6675  0.6675  0.5679
Th  0.9934  0.9934  0.7536
Sb  0.1656  0.1656  0.8335
Sb  0.8344  0.8344  0.1665
As  0.1695  0.1695  0.3359
As  0.5000  0.5000  0.0000
As  0.8305  0.8305  0.6641
Se  0.5000  0.5000  0.5000

***

9.
DFT (GGA-PBE) results for a geometry-optimized Th8SbAs4Se3 structure.

The crystal system is trigonal.

Lattice parameters (Å, degrees): 8.5577 8.5577 8.5577 59.76 59.76 59.76
Element x y z (fractional)
Th  0.2476  0.2476  0.2476
Th  0.2528  0.7426  0.7426
Th  0.2574  0.2574  0.7472
Th  0.2574  0.7472  0.2574
Th  0.7426  0.2528  0.7426
Th  0.7426  0.7426  0.2528
Th  0.7472  0.2574  0.2574
Th  0.7524  0.7524  0.7524
Sb  0.0000  0.0000  0.0000
As  0.0000  0.0000  0.5000
As  0.0000  0.5000  0.0000
As  0.5000  0.0000  0.0000
As  0.5000  0.5000  0.5000
Se  0.0000  0.5000  0.5000
Se  0.5000  0.0000  0.5000
Se  0.5000  0.5000  0.0000

***

10.
DFT (GGA-PBE) results for a geometry-optimized Th4SbAs2Se structure.

The crystal system is monoclinic.

Lattice parameters (Å, degrees): 7.4372 4.2938 7.5170 90.00 109.28 90.00
Element x y z (fractional)
Th  0.2364  0.0000  0.2308
Th  0.2479  0.5000  0.7641
Th  0.7521  0.5000  0.2359
Th  0.7636  0.0000  0.7692
Sb  0.5000  0.5000  0.5000
As  0.0000  0.5000  0.0000
As  0.5000  0.0000  0.0000
Se  0.0000  0.0000  0.5000

***

11.
DFT (GGA-PBE) results for a geometry-optimized Th4SbAsSe2 structure.

The crystal system is monoclinic.

Lattice parameters (Å, degrees): 7.3348 4.3294 7.5142 90.00 109.84 90.00
Element x y z (fractional)
Th  0.2374  0.0000  0.2328
Th  0.2474  0.5000  0.7623
Th  0.7526  0.5000  0.2377
Th  0.7626  0.0000  0.7672
Sb  0.5000  0.5000  0.5000
As  0.5000  0.0000  0.0000
Se  0.0000  0.0000  0.5000
Se  0.0000  0.5000  0.0000

***

12.
DFT (GGA-PBE) results for a geometry-optimized Th6SbAs3Se2 structure.

The crystal system is monoclinic.

Lattice parameters (Å, degrees): 9.5926 9.5926 8.5574 103.41 103.41 25.87
Element x y z (fractional)
Th  0.0001  0.0001  0.2337
Th  0.9999  0.9999  0.7663
Th  0.3269  0.3269  0.4194
Th  0.3350  0.3350  0.9129
Th  0.6650  0.6650  0.0871
Th  0.6731  0.6731  0.5806
Sb  0.5000  0.5000  0.5000
As  0.1637  0.1637  0.3313
As  0.5000  0.5000  0.0000
As  0.8363  0.8363  0.6687
Se  0.1679  0.1679  0.8333
Se  0.8321  0.8321  0.1667

***

| no. | uncorrected energy (eV per atom) | uncorrected formation energy (eV per atom) | DOS(E_F) (states/eV per cell) |
| --- | --- | --- | --- |
| 1 | -5.806 | -1.3947 | 2.11 |
| 2 | -4.808 | 0.4134 | 5.41 |
| 3 | -3.160 | 0.7438 | 6.22 |
| 4 | -2.907 | 0.8010 | 5.02 |
| 5 | -3.058 | 0.6500 | 4.75 |
| 6 | -2.988 | 0.7199 | 6.73 |
| 7 | -6.953 | -1.2979 | 9.35 |
| 8 | -7.102 | -1.2520 | 7.86 |
| 9 | -7.183 | -1.3998 | 8.87 |
| 10 | -7.130 | -1.3072 | 5.63 |
| 11 | -7.018 | -1.3407 | 5.79 |
| 12 | -7.159 | -1.3627 | 8.33 |